Gd2DyY | PBE-GGA | relaxed

abc: 8.041 8.041 8.041
angles: 90.00 90.00 90.00
Space group Fm-3m (No. 225)
Asymmetric unit:
Gd 0.250 0.250 0.250 (multiplicity 8)
Dy 0.000 0.000 0.000 (multiplicity 4)
Y 0.000 0.000 0.500 (multiplicity 4)

Computed properties:
mass density = 7.2 g/cm³
magnetization = 15.95 μB/f.u.
energy above the most stable polymorph in this dataset = 0.30 eV/f.u.
energy of formation = 100 meV per atom



NdThFe4 | PBE-GGA | relaxed

abc: 7.417 7.417 7.417
angles: 90.00 90.00 90.00
Space group F-43m (No. 216)
Asymmetric unit:
Nd 0.000 0.000 0.000 (multiplicity 4)
Th 0.250 0.250 0.750 (multiplicity 4)
Fe 0.124 0.124 0.376 (multiplicity 16)

Computed properties:
mass density = 9.8 g/cm³
magnetization = 7.13 μB/f.u.
energy of formation = 12 meV per atom



K4TcCl | PBE-GGA | relaxed

abc: 10.515 10.515 10.515
angles: 90.00 90.00 90.00
Space group F-43m (No. 216)
Asymmetric unit:
K 0.125 0.125 0.125 (multiplicity 16)
Tc 0.250 0.250 0.750 (multiplicity 4)
Cl 0.000 0.000 0.500 (multiplicity 4)

Computed properties:
mass density = 1.7 g/cm³
magnetization = 4.02 μB/f.u.
ΔE_f (raw) = 666 meV/atom